The following is a GGA-PBE calculation of an optimized crystal structure of KErBi2, from Alexandria via LeMat-Bulk.

Cell lengths 8.231, 8.231, 8.231 Å; angles 34.02, 34.02, 34.02 degrees
Fractional coordinates of all 4 atoms:
K 0.000 0.000 0.000
Er 0.500 0.500 0.500
Bi 0.229 0.229 0.229
Bi 0.771 0.771 0.771

Calculated values
- E_form (meV/atom) = -363
- D(E_F) (states/eV per atom) = 0.75
- space-group type = R-3m, No. 166
- calculated total energy (eV/atom) = -3.7186

---

The following is a GGA-PBE calculation of an optimized crystal structure of Ta2AsPb, from Alexandria via LeMat-Bulk.

Cell lengths 5.382, 5.382, 5.382 Å; angles 134.42, 134.42, 66.43 degrees
Fractional coordinates of all 4 atoms:
Ta 0.000 0.000 0.000
Ta 0.750 0.250 0.500
As 0.250 0.750 0.500
Pb 0.500 0.500 0.000

Calculated values
- E_form (meV/atom) = 523
- D(E_F) (states/eV per atom) = 1.02
- space-group type = I-4m2, No. 119
- calculated total energy (eV/atom) = -7.4930

---

The following is a GGA-PBE calculation of an optimized crystal structure of PrEr2ScIn4, from Alexandria via LeMat-Bulk.

Cell lengths 9.205, 9.205, 9.205 Å; angles 33.31, 33.31, 33.31 degrees
Fractional coordinates of all 8 atoms:
Pr 0.000 0.000 0.000
Er 0.249 0.249 0.249
Er 0.751 0.751 0.751
Sc 0.500 0.500 0.500
In 0.128 0.128 0.128
In 0.379 0.379 0.379
In 0.621 0.621 0.621
In 0.872 0.872 0.872

Calculated values
- E_form (meV/atom) = -425
- D(E_F) (states/eV per atom) = 0.58
- space-group type = R-3m, No. 166
- calculated total energy (eV/atom) = -4.3241

---

The following is a GGA-PBE calculation of an optimized crystal structure of InHg14Pb, from Alexandria via LeMat-Bulk.

Cell lengths 10.630, 6.575, 6.575 Å; angles 70.72, 90.00, 90.00 degrees
Fractional coordinates of all 16 atoms:
In 0.000 0.000 0.000
Hg 0.000 0.503 0.989
Hg 0.000 0.989 0.503
Hg 0.249 0.210 0.210
Hg 0.255 0.214 0.711
Hg 0.255 0.711 0.214
Hg 0.260 0.716 0.716
Hg 0.500 0.468 0.995
Hg 0.500 0.489 0.489
Hg 0.500 0.974 0.974
Hg 0.500 0.995 0.468
Hg 0.740 0.716 0.716
Hg 0.745 0.214 0.711
Hg 0.745 0.711 0.214
Hg 0.751 0.210 0.210
Pb 0.000 0.494 0.494

Calculated values
- E_form (meV/atom) = 12
- D(E_F) (states/eV per atom) = 0.19
- space-group type = Amm2, No. 38
- calculated total energy (eV/atom) = -0.6552

---

The following is a GGA-PBE calculation of an optimized crystal structure of AsRuSeBr2, from Alexandria via LeMat-Bulk.

Cell lengths 5.016, 5.016, 4.794 Å; angles 90.00, 90.00, 90.00 degrees
Fractional coordinates of all 5 atoms:
As 0.000 0.000 0.000
Ru 0.000 0.000 0.500
Se 0.500 0.500 0.000
Br 0.000 0.500 0.500
Br 0.500 0.000 0.500

Calculated values
- D(E_F) (states/eV per atom) = 0.98
- space-group type = P4/mmm, No. 123
- calculated total energy (eV/atom) = -3.6370

---

The following is a GGA-PBE calculation of an optimized crystal structure of BaOsI2O, from Alexandria via LeMat-Bulk.

Cell lengths 5.930, 5.930, 3.842 Å; angles 90.00, 90.00, 90.00 degrees
Fractional coordinates of all 5 atoms:
Ba 0.000 0.000 0.000
Os 0.500 0.500 0.500
I 0.000 0.500 0.500
I 0.500 0.000 0.500
O 0.500 0.500 0.000

Calculated values
- D(E_F) (states/eV per atom) = 0.85
- space-group type = P4/mmm, No. 123
- calculated total energy (eV/atom) = -4.8585